The following is a GGA-PBE calculation of a relaxed Ba2NdAg2S4 crystal, from Alexandria via LeMat-Bulk.

Summary:
DOS(E_F)   0.24 states/eV/atom
Theoretical density   5.5 Mg/m³
Formation energy without anion corrections   -12.101 eV/f.u.

Cell: 15.831 4.063 7.856 Å, 90.00 113.87 90.00°
Space group C2/m (No. 12)
Unique sites:
Ba: 0.135 0.000 0.079
Nd: 0.000 0.000 0.500
Ag: 0.185 0.500 0.511
S: 0.019 0.500 0.251
S: 0.193 0.000 0.741



The following is a GGA-PBE calculation of a relaxed MgSc7 crystal, from Alexandria via LeMat-Bulk.

Summary:
DFT formation energy   0.35 eV/f.u.
DOS(E_F)   1.80 states/eV/atom
Theoretical density   2.9 Mg/m³

Cell: 9.199 9.199 9.199 Å, 90.00 90.00 90.00°
Space group Fm-3m (No. 225)
Unique sites:
Mg: 0.000 0.000 0.000
Sc: 0.000 0.000 0.500
Sc: 0.000 0.250 0.250



The following is a GGA-PBE calculation of a relaxed Ca2MgSn2 crystal, from Alexandria via LeMat-Bulk.

Summary:
DFT formation energy   -1.82 eV/f.u.
DOS(E_F)   0.37 states/eV/atom
Theoretical density   3.8 Mg/m³

Cell: 6.663 13.610 6.596 Å, 90.00 90.00 90.00°
Space group Ibam (No. 72)
Unique sites:
Ca: 0.249 0.170 0.000
Mg: 0.000 0.500 0.250
Sn: 0.196 0.092 0.500



The following is a GGA-PBE calculation of a relaxed ReP2OsO crystal, from Alexandria via LeMat-Bulk.

Summary:
DOS(E_F)   0.61 states/eV/atom
Distance to the lowest polymorph of the same formula   112 meV per atom
Theoretical density   9.3 Mg/m³
Formation energy without anion corrections   3.787 eV/f.u.

Cell: 4.757 4.757 3.589 Å, 90.00 90.00 90.00°
Space group P4/mmm (No. 123)
Unique sites:
Re: 0.000 0.000 0.000
P: 0.000 0.500 0.500
Os: 0.500 0.500 0.500
O: 0.500 0.500 0.000



The following is a GGA-PBE calculation of a relaxed GdDyNiAg crystal, from Alexandria via LeMat-Bulk.

Summary:
DFT formation energy   -1.16 eV/f.u.
DOS(E_F)   0.75 states/eV/atom
Theoretical density   9.1 Mg/m³

Cell: 7.072 7.072 7.072 Å, 90.00 90.00 90.00°
Space group F-43m (No. 216)
Unique sites:
Gd: 0.000 0.000 0.000
Dy: 0.000 0.000 0.500
Ni: 0.250 0.250 0.250
Ag: 0.250 0.250 0.750



The following is a GGA-PBE calculation of a relaxed CsNa2Si2 crystal, from Alexandria via LeMat-Bulk.

Summary:
DOS(E_F)   0.40 states/eV/atom
Distance to the lowest polymorph of the same formula   112 meV per atom
Theoretical density   2.2 Mg/m³
Formation energy without anion corrections   1.013 eV/f.u.

Cell: 8.672 8.672 4.758 Å, 90.00 90.00 90.00°
Space group P4/mbm (No. 127)
Unique sites:
Cs: 0.000 0.000 0.000
Na: 0.138 0.362 0.500
Si: 0.091 0.591 0.000



The following is a GGA-PBE calculation of a relaxed PrTm6Sc3 crystal, from Alexandria via LeMat-Bulk.

Summary:
DFT formation energy   0.24 eV/f.u.
DOS(E_F)   1.79 states/eV/atom
Distance to the lowest polymorph of the same formula   0 meV per atom
Theoretical density   7.4 Mg/m³

Cell: 28.367 3.514 12.554 Å, 90.00 111.44 90.00°
Space group C2/m (No. 12)
Unique sites:
Pr: 0.207 0.000 0.047
Tm: 0.008 0.000 0.638
Tm: 0.012 0.500 0.143
Tm: 0.104 0.500 0.840
Tm: 0.186 0.500 0.262
Tm: 0.188 0.000 0.750
Tm: 0.207 0.500 0.540
Sc: 0.090 0.000 0.058
Sc: 0.091 0.500 0.554
Sc: 0.107 0.000 0.347



The following is a GGA-PBE calculation of a relaxed TlAuSe2 crystal, from Alexandria via LeMat-Bulk.

Summary:
DOS(E_F)   0.30 states/eV/atom
Theoretical density   9.8 Mg/m³
Formation energy without anion corrections   0.108 eV/f.u.

Cell: 5.514 5.514 3.129 Å, 90.00 90.00 90.00°
Space group P4/mmm (No. 123)
Unique sites:
Tl: 0.000 0.000 0.000
Au: 0.500 0.500 0.500
Se: 0.000 0.500 0.500